Entry 1:
The following is a DFT calculation (PBE-GGA) of crystalline Ta4Co3Mo2N3 at its relaxed geometry.

Cell: 8.847 5.160 13.980 Å, 90.00 102.73 90.00°
Space group C2/c (No. 15)
Inequivalent atoms, fractional coordinates:
Ta (0.113, 0.095, 0.092) (multiplicity 8)
Ta (0.227, 0.080, 0.409) (multiplicity 8)
Co (0.000, 0.076, 0.250) (multiplicity 4)
Co (0.247, 0.339, 0.252) (multiplicity 8)
Mo (0.028, 0.415, 0.834) (multiplicity 8)
N (0.087, 0.238, 0.500) (multiplicity 8)
N (0.250, 0.250, 0.000) (multiplicity 4)

final energy = -9.9936 eV/atom
total moment = 5.9 Bohr magnetons per cell

Entry 2:
The following is a DFT calculation (PBE-GGA) of crystalline Co3Mo4W2N3 at its relaxed geometry.

Cell: 8.540 4.915 14.038 Å, 90.00 103.08 90.00°
Space group C2/c (No. 15)
Inequivalent atoms, fractional coordinates:
Co (0.000, 0.074, 0.250) (multiplicity 4)
Co (0.241, 0.199, 0.754) (multiplicity 8)
Mo (0.113, 0.055, 0.091) (multiplicity 8)
Mo (0.230, 0.071, 0.410) (multiplicity 8)
W (0.039, 0.446, 0.844) (multiplicity 8)
N (0.078, 0.278, 0.480) (multiplicity 8)
N (0.250, 0.250, 0.000) (multiplicity 4)

final energy = -9.6482 eV/atom
total moment = 0.1 Bohr magnetons per cell

Repeat the second record exactly.
The following is a DFT calculation (PBE-GGA) of crystalline Co3Mo4W2N3 at its relaxed geometry.

Cell: 8.540 4.915 14.038 Å, 90.00 103.08 90.00°
Space group C2/c (No. 15)
Inequivalent atoms, fractional coordinates:
Co (0.000, 0.074, 0.250) (multiplicity 4)
Co (0.241, 0.199, 0.754) (multiplicity 8)
Mo (0.113, 0.055, 0.091) (multiplicity 8)
Mo (0.230, 0.071, 0.410) (multiplicity 8)
W (0.039, 0.446, 0.844) (multiplicity 8)
N (0.078, 0.278, 0.480) (multiplicity 8)
N (0.250, 0.250, 0.000) (multiplicity 4)

final energy = -9.6482 eV/atom
total moment = 0.1 Bohr magnetons per cell

Repeat the first record exactly.
The following is a DFT calculation (PBE-GGA) of crystalline Ta4Co3Mo2N3 at its relaxed geometry.

Cell: 8.847 5.160 13.980 Å, 90.00 102.73 90.00°
Space group C2/c (No. 15)
Inequivalent atoms, fractional coordinates:
Ta (0.113, 0.095, 0.092) (multiplicity 8)
Ta (0.227, 0.080, 0.409) (multiplicity 8)
Co (0.000, 0.076, 0.250) (multiplicity 4)
Co (0.247, 0.339, 0.252) (multiplicity 8)
Mo (0.028, 0.415, 0.834) (multiplicity 8)
N (0.087, 0.238, 0.500) (multiplicity 8)
N (0.250, 0.250, 0.000) (multiplicity 4)

final energy = -9.9936 eV/atom
total moment = 5.9 Bohr magnetons per cell

What did the first record say?
The following is a DFT calculation (PBE-GGA) of crystalline Ta4Co3Mo2N3 at its relaxed geometry.

Cell: 8.847 5.160 13.980 Å, 90.00 102.73 90.00°
Space group C2/c (No. 15)
Inequivalent atoms, fractional coordinates:
Ta (0.113, 0.095, 0.092) (multiplicity 8)
Ta (0.227, 0.080, 0.409) (multiplicity 8)
Co (0.000, 0.076, 0.250) (multiplicity 4)
Co (0.247, 0.339, 0.252) (multiplicity 8)
Mo (0.028, 0.415, 0.834) (multiplicity 8)
N (0.087, 0.238, 0.500) (multiplicity 8)
N (0.250, 0.250, 0.000) (multiplicity 4)

final energy = -9.9936 eV/atom
total moment = 5.9 Bohr magnetons per cell

What did the first record say?
The following is a DFT calculation (PBE-GGA) of crystalline Ta4Co3Mo2N3 at its relaxed geometry.

Cell: 8.847 5.160 13.980 Å, 90.00 102.73 90.00°
Space group C2/c (No. 15)
Inequivalent atoms, fractional coordinates:
Ta (0.113, 0.095, 0.092) (multiplicity 8)
Ta (0.227, 0.080, 0.409) (multiplicity 8)
Co (0.000, 0.076, 0.250) (multiplicity 4)
Co (0.247, 0.339, 0.252) (multiplicity 8)
Mo (0.028, 0.415, 0.834) (multiplicity 8)
N (0.087, 0.238, 0.500) (multiplicity 8)
N (0.250, 0.250, 0.000) (multiplicity 4)

final energy = -9.9936 eV/atom
total moment = 5.9 Bohr magnetons per cell